Density functional theory data (PBE-GGA) for crystalline Mg5H3Ir2 at its relaxed geometry.

The space group is P1 (No. 1) and the conventional cell measures 4.2554, 5.1363 and 7.6115 Å, with angles of 94.15, 106.18 and 114.32 degrees. The asymmetric unit holds Mg at (0.0000, 0.0000, 0.0000), Mg at (0.0809, 0.5681, 0.5969), Mg at (0.2610, 0.1002, 0.4248), Mg at (0.4408, 0.6249, 0.2589), Mg at (0.5432, 0.2582, 0.8322), H at (0.4642, 0.8734, 0.0544), H at (0.7141, 0.7008, 0.7385), H at (0.9260, 0.5655, 0.2887), Ir at (0.7043, 0.2048, 0.2059) and Ir at (0.8001, 0.9773, 0.6255).

The value obtained for the offset from the most stable computed form is 0.012 eV per atom. The total magnetization comes out at 0.000 μB/cell.



Density functional theory data (PBE-GGA) for crystalline Hg2RhI6 at its relaxed geometry.

The space group is C2/c (No. 15) and the conventional cell measures 14.1368, 12.8063 and 7.5515 Å, with angles of 90.00, 97.71 and 90.00 degrees. The asymmetric unit holds Hg at (0.1863, 0.0945, 0.3122), Rh at (0.0000, 0.4178, 0.2500), I at (0.1007, 0.4292, 0.5976), I at (0.1153, 0.2762, 0.1201) and I at (0.1189, 0.0987, 0.6521).

The energy relative to the elements, uncorrected is -0.173 eV/atom. The value obtained for the offset from the most stable computed form is 0.000 eV per atom. The total magnetization comes out at 0.000 μB/cell.



| no. | volume (A^3/atom) |
| --- | --- |
| 1 | 14.223 |
| 2 | 37.633 |